Entry from the Alexandria database: a geometry-optimized La2Cu structure (GGA-PBEsol).

a = 3.643 Å, b = 3.643 Å, c = 11.531 Å
α = 90.00°, β = 90.00°, γ = 90.00°
Sites, in units of the cell vectors:
La 0.000 0.000 0.147
La 0.000 0.000 0.853
La 0.500 0.500 0.353
La 0.500 0.500 0.647
Cu 0.000 0.000 0.500
Cu 0.500 0.500 0.000

Values from the calculation:
The formation enthalpy at 0 K comes out at -0.12 eV/f.u.